VASP calculation (GGA-PBE) on an optimized crystal structure of Rb3LiCu2Cl8.

Cell: 7.0444 7.0444 9.2915 Å, 90.00 90.00 120.00°
Last column: magnetic moment on the atom in μB.
Atoms (fractional coordinates):
1 Rb 0.3333 0.6667 0.6316  0.00
2 Rb 0.6667 0.3333 0.3684  0.00
3 Rb 0.0000 0.0000 0.0000  0.00
4 Li 0.0000 0.0000 0.5000  0.00
5 Cu 0.3333 0.6667 0.2161  0.52
6 Cu 0.6667 0.3333 0.7839  0.52
7 Cl 0.3333 0.6667 0.9793  0.10
8 Cl 0.6667 0.3333 0.0207  0.10
9 Cl 0.1645 0.8355 0.3232  0.10
10 Cl 0.8355 0.1645 0.6768  0.10
11 Cl 0.1645 0.3291 0.3232  0.10
12 Cl 0.8355 0.6709 0.6768  0.10
13 Cl 0.6709 0.8355 0.3232  0.10
14 Cl 0.3291 0.1645 0.6768  0.10

The calculation puts the total energy at -45.77 eV per cell. The calculation puts the uncorrected formation energy at -1.2851 eV/atom. The calculated density is 2.80 g cm⁻³. The spin magnetization comes out at 2.08 μB/f.u.